First-principles (PBE) data for a relaxed ScTePt2 crystal, as listed in Alexandria.

Properties
For the raw formation energy, the calculation gives -0.76 eV/atom. The value obtained for the total energy is -6.1461 eV per atom. The calculated volume is 19.01 Å³ per atom.

Cell lengths 3.656, 3.624, 6.787 Å; angles 57.75, 90.00, 90.00 degrees
Fractional coordinates of all 4 atoms:
Pt 0.000 0.986 0.014
Pt 0.000 0.514 0.486
Sc 0.500 0.250 0.250
Te 0.500 0.750 0.750